PrZnPd, relaxed, DFT GGA-PBE; magnetization = 0.00 μB/cell; SG = F-43m (216); DFT formation energy = -0.481 eV/atom
1.0
4.719 0.000 0.000
2.360 4.087 0.000
2.360 1.362 3.853
Pr Zn Pd
1 1 1
direct
0.500 0.500 0.500 Pr
0.000 0.000 0.000 Zn
0.250 0.250 0.250 Pd

Sm3Ho2Er6Mg, relaxed, DFT GGA-PBE; magnetization = 0.00 μB/cell; SG = C2/m (12); DFT formation energy = 0.033 eV/atom
1.0
-0.865 1.994 5.710
-4.802 -1.362 -3.523
2.169 -11.014 3.078
Sm Ho Er Mg
3 2 6 1
direct
0.166 0.834 0.500 Sm
0.834 0.166 0.500 Sm
0.500 0.500 0.500 Sm
0.334 0.666 0.000 Ho
0.666 0.334 0.000 Ho
0.919 0.586 0.754 Er
0.748 0.748 0.247 Er
0.081 0.414 0.246 Er
0.586 0.919 0.754 Er
0.252 0.252 0.753 Er
0.414 0.081 0.246 Er
0.000 0.000 0.000 Mg